Computed, not measured: a relaxed structure of Gd3BWO9 at the GGA+U level of DFT.

The structure belongs to space group P6_3 (No. 173); the cell edges are 8.6939, 8.6939 and 5.4770 Å and the angles 90.00°, 90.00° and 120.00°. The asymmetric unit holds Gd at (0.0771, 0.7208, 0.0000), B at (0.0000, 0.0000, 0.1772), W at (0.3333, 0.6667, 0.5412), O at (0.0597, 0.8798, 0.6688), O at (0.1315, 0.5213, 0.7669) and O at (0.2053, 0.4629, 0.3346).

For the final energy, the calculation gives -285.01 eV per cell.